Material: Lu6Al43Mo4
Method: DFT, meta-GGA SCAN
State: PBEsol geometry

Cell lengths 10.870, 10.870, 17.491 Å; angles 90.00, 90.00, 120.00 degrees
Atoms (fractional coordinates):
Lu  0.533  0.533  0.595
Lu  0.000  0.467  0.595
Lu  0.467  0.000  0.595
Lu  0.467  0.467  0.405
Lu  0.000  0.533  0.405
Lu  0.533  0.000  0.405
Lu  0.467  0.467  0.095
Lu  0.000  0.533  0.095
Lu  0.533  0.000  0.095
Lu  0.533  0.533  0.905
Lu  0.000  0.467  0.905
Lu  0.467  0.000  0.905
Al  0.763  0.157  0.663
Al  0.394  0.237  0.663
Al  0.843  0.606  0.663
Al  0.157  0.763  0.663
Al  0.237  0.394  0.663
Al  0.606  0.843  0.663
Al  0.237  0.843  0.337
Al  0.606  0.763  0.337
Al  0.157  0.394  0.337
Al  0.843  0.237  0.337
Al  0.763  0.606  0.337
Al  0.394  0.157  0.337
Al  0.237  0.843  0.163
Al  0.606  0.763  0.163
Al  0.157  0.394  0.163
Al  0.843  0.237  0.163
Al  0.763  0.606  0.163
Al  0.394  0.157  0.163
Al  0.763  0.157  0.837
Al  0.394  0.237  0.837
Al  0.843  0.606  0.837
Al  0.157  0.763  0.837
Al  0.237  0.394  0.837
Al  0.606  0.843  0.837
Al  0.159  0.159  0.115
Al  0.000  0.841  0.115
Al  0.841  0.000  0.115
Al  0.841  0.841  0.885
Al  0.000  0.159  0.885
Al  0.159  0.000  0.885
Al  0.841  0.841  0.615
Al  0.000  0.159  0.615
Al  0.159  0.000  0.615
Al  0.159  0.159  0.385
Al  0.000  0.841  0.385
Al  0.841  0.000  0.385
Al  0.255  0.255  0.530
Al  0.000  0.745  0.530
Al  0.745  0.000  0.530
Al  0.745  0.745  0.470
Al  0.000  0.255  0.470
Al  0.255  0.000  0.470
Al  0.745  0.745  0.030
Al  0.000  0.255  0.030
Al  0.255  0.000  0.030
Al  0.255  0.255  0.970
Al  0.000  0.745  0.970
Al  0.745  0.000  0.970
Al  0.552  0.148  0.750
Al  0.596  0.448  0.750
Al  0.852  0.404  0.750
Al  0.148  0.552  0.750
Al  0.448  0.596  0.750
Al  0.404  0.852  0.750
Al  0.448  0.852  0.250
Al  0.404  0.552  0.250
Al  0.148  0.596  0.250
Al  0.852  0.448  0.250
Al  0.552  0.404  0.250
Al  0.596  0.148  0.250
Al  0.753  0.247  0.500
Al  0.494  0.247  0.500
Al  0.753  0.506  0.500
Al  0.247  0.753  0.500
Al  0.247  0.494  0.500
Al  0.506  0.753  0.500
Al  0.247  0.753  0.000
Al  0.506  0.753  0.000
Al  0.247  0.494  0.000
Al  0.753  0.247  0.000
Al  0.753  0.506  0.000
Al  0.494  0.247  0.000
Al  0.667  0.333  0.625
Al  0.333  0.667  0.625
Al  0.333  0.667  0.375
Al  0.667  0.333  0.375
Al  0.333  0.667  0.125
Al  0.667  0.333  0.125
Al  0.667  0.333  0.875
Al  0.333  0.667  0.875
Al  0.148  0.148  0.750
Al  0.000  0.852  0.750
Al  0.852  0.000  0.750
Al  0.852  0.852  0.250
Al  0.000  0.148  0.250
Al  0.148  0.000  0.250
Mo  0.728  0.728  0.750
Mo  0.000  0.272  0.750
Mo  0.272  0.000  0.750
Mo  0.272  0.272  0.250
Mo  0.000  0.728  0.250
Mo  0.728  0.000  0.250
Mo  0.000  0.000  0.500
Mo  0.000  0.000  0.000

E   -15.51 eV/atom
Space group   No. 193
ρ   4.81 g cm⁻³
Energy relative to the elements   -0.32 eV per atom
Density of states at the Fermi level   39.52 states/eV per cell